Crystalline Er3ReB7 at its relaxed geometry. Source: Alexandria, functional PBE.

Formation energy from the elements = -0.65 eV per atom
Electronic total energy = -7.2749 eV/atom

The structure in extended XYZ format:
```
22
Lattice="-1.6401 7.6176 -1.9264 -1.4604 -7.8868 0.3064 -4.3557 1.1232 8.1498" Properties=species:S:1:pos:R:3 pbc="T T T"
B -2.2287 2.0880 0.1191
B -3.0973 2.3119 1.7443
B -5.7194 -2.5753 7.5751
B -4.3589 -1.4580 4.7856
B -1.7368 3.4292 -1.0453
B -5.4905 0.5716 6.6141
B -4.8251 1.4036 5.2022
B -4.1363 0.2223 4.0802
B -5.2275 -1.2340 6.4107
B -2.6311 -0.5496 1.3277
B -3.3199 0.6316 2.4497
B -1.9657 0.2824 -0.0843
B -3.8329 -3.0617 4.0453
B -3.6233 3.9157 2.4846
Er -1.8813 6.0524 -1.2047
Er -4.8633 4.6974 4.7278
Er -3.5390 6.4798 1.8970
Er -3.9172 -5.6259 4.6329
Er -2.5929 -3.8435 1.8020
Er -5.5749 -5.1984 7.7346
Re -4.8974 7.6432 4.3036
Re -2.5588 -6.7893 2.2262
```